{
  "formula": "Be2AlV2Ni5",
  "functional": "PBE-GGA",
  "state": "relaxed",
  "lattice": [[2.6875, 0.0000, 0.0000], [0.0000, 9.0414, 0.0000], [0.0000, 0.0000, 9.0414]],
  "species": ["Ni", "Ni", "Ni", "Al", "Ni", "Be", "V", "V", "Ni", "V", "Al", "Be", "V", "Be", "Ni", "Ni", "Ni", "Ni", "Be", "Ni"],
  "frac_coords": [[0.5000, 0.2895, 0.5483], [0.5000, 0.0483, 0.7895], [0.5000, 0.4517, 0.2895], [0.0000, 0.0000, 0.0000], [0.5000, 0.0000, 0.5000], [0.0000, 0.3737, 0.1263], [0.0000, 0.3208, 0.8208], [0.0000, 0.6792, 0.1792], [0.5000, 0.2105, 0.0483], [0.0000, 0.1792, 0.3208], [0.0000, 0.5000, 0.5000], [0.0000, 0.1263, 0.6263], [0.0000, 0.8208, 0.6792], [0.0000, 0.8737, 0.3737], [0.5000, 0.7105, 0.4517], [0.5000, 0.5000, 0.0000], [0.5000, 0.5483, 0.7105], [0.5000, 0.7895, 0.9517], [0.0000, 0.6263, 0.8737], [0.5000, 0.9517, 0.2105]],
  "volume_a3_per_atom": 11.0,
  "n_ef_per_ev_cell": 15.80,
  "delta_e_f_ev_per_atom": -0.2401
}


{
  "formula": "BeAlNi2W",
  "functional": "PBE-GGA",
  "state": "relaxed",
  "lattice": [[-0.9323, 2.9431, -2.3227], [-2.6300, 1.4534, 2.8973], [2.8515, 2.1106, 1.5297]],
  "species": ["Ni", "W", "Be", "Al", "Ni"],
  "frac_coords": [[0.0000, 0.0000, 0.5000], [0.5000, 0.5000, 0.5000], [0.0000, 0.0000, 0.0000], [0.0000, 0.5000, 0.0000], [0.5000, 0.0000, 0.0000]],
  "volume_a3_per_atom": 12.5,
  "n_ef_per_ev_cell": 3.21,
  "delta_e_f_ev_per_atom": 0.4426
}


{
  "formula": "Y2Be2AlNi5",
  "functional": "PBE-GGA",
  "state": "relaxed",
  "lattice": [[-3.1469, 1.0250, 0.1487], [-0.9801, -4.1698, 8.0042], [2.6636, 7.5590, 4.2641]],
  "species": ["Ni", "Y", "Be", "Ni", "Ni", "Ni", "Ni", "Be", "Y", "Ni", "Be", "Al", "Al", "Ni", "Ni", "Y", "Ni", "Be", "Y", "Ni"],
  "frac_coords": [[0.5000, 0.0000, 0.5000], [0.0000, 0.3185, 0.8185], [0.0000, 0.3874, 0.1126], [0.5000, 0.2799, 0.5639], [0.5000, 0.7799, 0.9361], [0.5000, 0.5000, 0.0000], [0.5000, 0.2201, 0.0639], [0.0000, 0.8874, 0.3874], [0.0000, 0.1815, 0.3185], [0.5000, 0.0639, 0.7799], [0.0000, 0.6126, 0.8874], [0.0000, 0.0000, 0.0000], [0.0000, 0.5000, 0.5000], [0.5000, 0.7201, 0.4361], [0.5000, 0.5639, 0.7201], [0.0000, 0.6815, 0.1815], [0.5000, 0.9361, 0.2201], [0.0000, 0.1126, 0.6126], [0.0000, 0.8185, 0.6815], [0.5000, 0.4361, 0.2799]],
  "volume_a3_per_atom": 13.7,
  "n_ef_per_ev_cell": 11.44,
  "delta_e_f_ev_per_atom": -0.4158
}


{
  "formula": "BeAlZnNi",
  "functional": "PBE-GGA",
  "state": "relaxed",
  "lattice": [[-2.4232, 2.1147, -2.4624], [-3.8490, -1.1460, -0.5281], [-3.0075, 2.2311, 1.5441]],
  "species": ["Be", "Ni", "Al", "Zn"],
  "frac_coords": [[0.0000, 0.0000, 0.0000], [0.7500, 0.7500, 0.7500], [0.5000, 0.5000, 0.5000], [0.2500, 0.2500, 0.2500]],
  "volume_a3_per_atom": 11.7,
  "n_ef_per_ev_cell": 0.70,
  "delta_e_f_ev_per_atom": -0.1664
}


{
  "formula": "Zr2Be2AlNi5",
  "functional": "PBE-GGA",
  "state": "relaxed",
  "lattice": [[-2.0419, 1.1252, -2.3102], [1.4273, -7.2342, -4.7852], [-6.7323, -3.9817, 4.0113]],
  "species": ["Al", "Ni", "Be", "Zr", "Ni", "Be", "Be", "Ni", "Ni", "Ni", "Zr", "Ni", "Be", "Ni", "Ni", "Zr", "Zr", "Ni", "Al", "Ni"],
  "frac_coords": [[0.0000, 0.5000, 0.5000], [0.5000, 0.5000, 0.0000], [0.0000, 0.6136, 0.8864], [0.0000, 0.1807, 0.3193], [0.5000, 0.7171, 0.4356], [0.0000, 0.1136, 0.6136], [0.0000, 0.3864, 0.1136], [0.5000, 0.5644, 0.7171], [0.5000, 0.7829, 0.9356], [0.5000, 0.0000, 0.5000], [0.0000, 0.8193, 0.6807], [0.5000, 0.0644, 0.7829], [0.0000, 0.8864, 0.3864], [0.5000, 0.4356, 0.2829], [0.5000, 0.2171, 0.0644], [0.0000, 0.6807, 0.1807], [0.0000, 0.3193, 0.8193], [0.5000, 0.2829, 0.5644], [0.0000, 0.0000, 0.0000], [0.5000, 0.9356, 0.2171]],
  "volume_a3_per_atom": 12.7,
  "n_ef_per_ev_cell": 12.69,
  "delta_e_f_ev_per_atom": -0.4716
}


{
  "formula": "ZrBeAlNi",
  "functional": "PBE-GGA",
  "state": "relaxed",
  "lattice": [[-2.8005, 1.4993, 2.8911], [0.1929, -1.3446, 4.0748], [1.3250, 2.6789, 3.0850]],
  "species": ["Be", "Ni", "Zr", "Al"],
  "frac_coords": [[0.7500, 0.7500, 0.7500], [0.2500, 0.2500, 0.2500], [0.5000, 0.5000, 0.5000], [0.0000, 0.0000, 0.0000]],
  "volume_a3_per_atom": 14.0,
  "n_ef_per_ev_cell": 1.50,
  "delta_e_f_ev_per_atom": -0.4127
}